[1]
Computed, not measured: crystalline VIrI2O at its relaxed geometry at the GGA+U level of DFT.

Output
Size of the total moment = 3.7 μB per formula unit
ΔE to the lowest computed polymorph = 0.000 eV/atom

Cell: 5.711 5.711 3.745 Å, 90.00 90.00 90.00°
Space group P4/mmm (No. 123)
Asymmetric unit:
1 V 0.000 0.000 0.000 [1 per cell]
2 Ir 0.500 0.500 0.500 [1 per cell]
3 I 0.000 0.500 0.500 [2 per cell]
4 O 0.500 0.500 0.000 [1 per cell]



[2]
Computed, not measured: crystalline VIrI2O at its relaxed geometry at the GGA+U level of DFT.

Output
Size of the total moment = 1.8 μB per formula unit
ΔE to the lowest computed polymorph = 0.068 eV/atom

Cell: 5.464 5.464 3.597 Å, 90.00 90.00 90.00°
Space group P4/mmm (No. 123)
Asymmetric unit:
1 V 0.000 0.000 0.000 [1 per cell]
2 Ir 0.500 0.500 0.500 [1 per cell]
3 I 0.000 0.500 0.000 [2 per cell]
4 O 0.000 0.000 0.500 [1 per cell]



[3]
Computed, not measured: crystalline VIrIO2 at its relaxed geometry at the GGA+U level of DFT.

Output
Size of the total moment = 4.2 μB per formula unit
ΔE to the lowest computed polymorph = 0.166 eV/atom

Cell: 3.817 3.817 8.002 Å, 90.00 90.00 90.00°
Space group P4/mmm (No. 123)
Asymmetric unit:
1 V 0.000 0.000 0.000 [1 per cell]
2 Ir 0.500 0.500 0.500 [1 per cell]
3 I 0.500 0.500 0.000 [1 per cell]
4 O 0.000 0.500 0.500 [2 per cell]



[4]
Computed, not measured: crystalline VIrIO2 at its relaxed geometry at the GGA+U level of DFT.

Output
Size of the total moment = 0.0 μB per formula unit
ΔE to the lowest computed polymorph = 0.000 eV/atom

Cell: 3.707 3.707 6.390 Å, 90.00 90.00 90.00°
Space group P4/mmm (No. 123)
Asymmetric unit:
1 V 0.000 0.000 0.000 [1 per cell]
2 Ir 0.500 0.500 0.500 [1 per cell]
3 I 0.000 0.000 0.500 [1 per cell]
4 O 0.000 0.500 0.000 [2 per cell]



[5]
Computed, not measured: crystalline IrWIO2 at its relaxed geometry at the GGA+U level of DFT.

Output
Size of the total moment = 4.8 μB per formula unit
ΔE to the lowest computed polymorph = 0.686 eV/atom

Cell: 3.889 3.889 7.684 Å, 90.00 90.00 90.00°
Space group P4/mmm (No. 123)
Asymmetric unit:
1 Ir 0.000 0.000 0.000 [1 per cell]
2 W 0.500 0.500 0.500 [1 per cell]
3 I 0.000 0.000 0.500 [1 per cell]
4 O 0.000 0.500 0.000 [2 per cell]



[6]
Computed, not measured: crystalline IrWI2O at its relaxed geometry at the GGA+U level of DFT.

Output
Size of the total moment = 4.0 μB per formula unit
ΔE to the lowest computed polymorph = 0.037 eV/atom

Cell: 5.750 5.750 3.807 Å, 90.00 90.00 90.00°
Space group P4/mmm (No. 123)
Asymmetric unit:
1 Ir 0.000 0.000 0.000 [1 per cell]
2 W 0.500 0.500 0.500 [1 per cell]
3 I 0.000 0.500 0.500 [2 per cell]
4 O 0.500 0.500 0.000 [1 per cell]



[7]
Computed, not measured: crystalline IrWIO2 at its relaxed geometry at the GGA+U level of DFT.

Output
Size of the total moment = 1.6 μB per formula unit
ΔE to the lowest computed polymorph = 0.000 eV/atom

Cell: 3.834 3.834 8.004 Å, 90.00 90.00 90.00°
Space group P4/mmm (No. 123)
Asymmetric unit:
1 Ir 0.000 0.000 0.000 [1 per cell]
2 W 0.500 0.500 0.500 [1 per cell]
3 I 0.500 0.500 0.000 [1 per cell]
4 O 0.000 0.500 0.500 [2 per cell]



[8]
Computed, not measured: crystalline IrWI2O at its relaxed geometry at the GGA+U level of DFT.

Output
Size of the total moment = 4.5 μB per formula unit
ΔE to the lowest computed polymorph = 0.000 eV/atom

Cell: 5.678 5.678 3.748 Å, 90.00 90.00 90.00°
Space group P4/mmm (No. 123)
Asymmetric unit:
1 Ir 0.000 0.000 0.000 [1 per cell]
2 W 0.500 0.500 0.500 [1 per cell]
3 I 0.000 0.500 0.000 [2 per cell]
4 O 0.000 0.000 0.500 [1 per cell]